CuOsW2S: optimized geometry, GGA-PBE.

Unit cell a=4.410 b=4.410 c=4.132 alpha=90.00 beta=90.00 gamma=90.00
Space group P4/mmm (No. 123)
Symmetry-distinct sites (fractional):
Cu 0.000 0.000 0.000 (multiplicity 1)
Os 0.500 0.500 0.000 (multiplicity 1)
W 0.000 0.500 0.500 (multiplicity 2)
S 0.000 0.000 0.500 (multiplicity 1)

Computed properties:
Magnetization = 0.000 μB/f.u.
Formation energy (no corrections) = 1.147 eV/atom